# 1
A geometry-optimized TiNb2Pd9 structure, computed with GGA-PBE.

Structure (CIF):
```
data_TiNb2Pd9
_cell_length_a 3.967
_cell_length_b 3.967
_cell_length_c 11.897
_cell_angle_alpha 90.00
_cell_angle_beta 90.00
_cell_angle_gamma 90.00
_symmetry_space_group_name_H-M 'P 4/m m m'
_symmetry_Int_Tables_number 123
_symmetry_space_group_name_Hall '-P 4 2'
loop_
_atom_site_label
_atom_site_fract_x
_atom_site_fract_y
_atom_site_fract_z
Ti1 0.000 0.000 0.000
Nb1 0.000 0.000 0.330
Pd1 0.000 0.500 0.165
Pd2 0.000 0.500 0.500
Pd3 0.500 0.500 0.000
Pd4 0.500 0.500 0.333
```

Output
- ΔE_f: -0.40 eV per atom
- Total energy: -79.58 eV/f.u.
- M_tot: 2.232 μB/f.u.

# 2
A geometry-optimized Zn2PRh2 structure, computed with GGA-PBE.

Structure (CIF):
```
data_Zn2PRh2
_cell_length_a 6.065
_cell_length_b 6.065
_cell_length_c 4.064
_cell_angle_alpha 90.00
_cell_angle_beta 90.00
_cell_angle_gamma 90.00
_symmetry_space_group_name_H-M 'P 4/m b m'
_symmetry_Int_Tables_number 127
_symmetry_space_group_name_Hall '-P 4 2ab'
loop_
_atom_site_label
_atom_site_fract_x
_atom_site_fract_y
_atom_site_fract_z
Zn1 0.148 0.352 0.000
P1 0.000 0.000 0.500
Rh1 0.163 0.663 0.500
```

Output
- ΔE_f: -0.40 eV per atom
- Total energy: -24.64 eV/f.u.
- M_tot: 0.000 μB/f.u.

# 3
A geometry-optimized BeCuSCl2 structure, computed with GGA-PBE.

Structure (CIF):
```
data_BeCuSCl2
_cell_length_a 4.346
_cell_length_b 4.346
_cell_length_c 4.678
_cell_angle_alpha 90.00
_cell_angle_beta 90.00
_cell_angle_gamma 90.00
_symmetry_space_group_name_H-M 'P 4/m m m'
_symmetry_Int_Tables_number 123
_symmetry_space_group_name_Hall '-P 4 2'
loop_
_atom_site_label
_atom_site_fract_x
_atom_site_fract_y
_atom_site_fract_z
Be1 0.000 0.000 0.000
Cu1 0.500 0.500 0.500
S1 0.000 0.000 0.500
Cl1 0.000 0.500 0.000
```

Output
- Raw formation energy: 0.04 eV/atom
- Total energy: -15.43 eV/f.u.
- M_tot: 0.000 μB/f.u.

# 4
A geometry-optimized PmTlI structure, computed with GGA-PBE.

Structure (CIF):
```
data_PmTlI
_cell_length_a 4.6792
_cell_length_b 4.6792
_cell_length_c 11.8972
_cell_angle_alpha 90.00
_cell_angle_beta 90.00
_cell_angle_gamma 120.00
_symmetry_space_group_name_H-M 'P -3 m 1'
_symmetry_Int_Tables_number 164
_symmetry_space_group_name_Hall '-P 3 2"'
loop_
_atom_site_label
_atom_site_fract_x
_atom_site_fract_y
_atom_site_fract_z
Pm1 0.0000 0.0000 0.1821
Tl1 0.3333 0.6667 0.9498
I1 0.3333 0.6667 0.3399
```

Output
- Raw formation energy: -0.81 eV/atom
- Total energy: -11.08 eV/f.u.
- M_tot: 0.000 μB/f.u.

M_tot of number 1 (TiNb2Pd9)? 2.232 μB/f.u.

The highest M_tot belongs to which entry? TiNb2Pd9

What is the total energy in the first record? -79.58 eV/f.u.